Record 1
## Sc11Os4 (GGA-PBE)

Data for a geometry-optimized Sc11Os4 structure.

Summary:
Density of states at the Fermi level: 0.774 states/eV/atom
Total DFT energy (no corrections): -120.103 eV per formula unit

abc: 9.4428 9.4428 9.4428
angles: 60.00 60.00 60.00
Last column: nearest neighbours and their distance in Å.
Element x y z (fractional)
Sc (0.1481, 0.6173, 0.6173)  4 Os 2.71-2.96
Sc (0.1556, 0.1556, 0.1556)  3 Os 2.74, 3 Sc 3.00
Sc (0.1556, 0.1556, 0.5332)  3 Os 2.74, 3 Sc 3.00
Sc (0.1556, 0.5332, 0.1556)  3 Os 2.74, 3 Sc 3.00
Sc (0.1989, 0.1989, 0.8011)  1 Os 2.66
Sc (0.1989, 0.8011, 0.1989)  1 Os 2.66
Sc (0.1989, 0.8011, 0.8011)  1 Os 2.66
Sc (0.3827, 0.3827, 0.3827)  4 Os 2.71-2.96
Sc (0.3827, 0.3827, 0.8519)  4 Os 2.71-2.96
Sc (0.3827, 0.8519, 0.3827)  4 Os 2.71-2.96
Sc (0.4668, 0.8444, 0.8444)  3 Os 2.74, 3 Sc 3.00
Sc (0.5332, 0.1556, 0.1556)  3 Os 2.74, 3 Sc 3.00
Sc (0.6173, 0.1481, 0.6173)  4 Os 2.71-2.96
Sc (0.6173, 0.6173, 0.1481)  4 Os 2.71-2.96
Sc (0.6173, 0.6173, 0.6173)  4 Os 2.71-2.96
Sc (0.8011, 0.1989, 0.1989)  1 Os 2.66
Sc (0.8011, 0.1989, 0.8011)  1 Os 2.66
Sc (0.8011, 0.8011, 0.1989)  1 Os 2.66
Sc (0.8444, 0.4668, 0.8444)  3 Os 2.74, 3 Sc 3.00
Sc (0.8444, 0.8444, 0.4668)  3 Os 2.74, 3 Sc 3.00
Sc (0.8444, 0.8444, 0.8444)  3 Os 2.74, 3 Sc 3.00
Sc (0.8519, 0.3827, 0.3827)  4 Os 2.71-2.96
Os (0.0000, 0.0000, 0.0000)  6 Sc 2.66
Os (0.0000, 0.0000, 0.5000)  8 Sc 2.74-2.96
Os (0.0000, 0.5000, 0.0000)  8 Sc 2.74-2.96
Os (0.0000, 0.5000, 0.5000)  8 Sc 2.74-2.96
Os (0.5000, 0.0000, 0.0000)  8 Sc 2.74-2.96
Os (0.5000, 0.0000, 0.5000)  8 Sc 2.74-2.96
Os (0.5000, 0.5000, 0.0000)  8 Sc 2.74-2.96
Os (0.5000, 0.5000, 0.5000)  8 Sc 2.71

Record 2
## Sc5Os3 (GGA-PBE)

Data for a geometry-optimized Sc5Os3 structure.

Summary:
Density of states at the Fermi level: 0.565 states/eV/atom
Distance to the lowest polymorph of the same formula: 0.0000 eV/atom

abc: 3.2508 3.2508 14.4632
angles: 90.00 90.00 90.00
Last column: nearest neighbours and their distance in Å.
Element x y z (fractional)
Sc (0.0000, 0.0000, 0.0000)  8 Os 2.84, 2 Sc 3.10
Sc (0.0000, 0.0000, 0.2142)  4 Os 2.71
Sc (0.0000, 0.0000, 0.7858)  4 Os 2.71
Sc (0.5000, 0.5000, 0.3942)  4 Os 2.76, 1 Sc 3.06
Sc (0.5000, 0.5000, 0.6058)  4 Os 2.76, 1 Sc 3.06
Os (0.0000, 0.0000, 0.5000)  8 Sc 2.76
Os (0.5000, 0.5000, 0.1152)  8 Sc 2.71-2.84
Os (0.5000, 0.5000, 0.8848)  8 Sc 2.71-2.84

Record 3
## Sc5Os (GGA-PBE)

Data for a geometry-optimized Sc5Os structure.

Summary:
Density of states at the Fermi level: 1.058 states/eV/atom
Distance to the lowest polymorph of the same formula: 0.1242 eV/atom

abc: 5.5173 5.5173 4.7576
angles: 90.00 90.00 120.00
Last column: nearest neighbours and their distance in Å.
Element x y z (fractional)
Sc (0.0000, 0.6972, 0.0000)  6 Sc 2.89-3.06, 2 Os 2.91
Sc (0.3028, 0.3028, 0.0000)  6 Sc 2.89-3.06, 2 Os 2.91
Sc (0.3333, 0.6667, 0.5000)  9 Sc 3.06-3.19, 3 Os 3.19
Sc (0.6667, 0.3333, 0.5000)  9 Sc 3.06-3.19, 3 Os 3.19
Sc (0.6972, 0.0000, 0.0000)  6 Sc 2.89-3.06, 2 Os 2.91
Os (0.0000, 0.0000, 0.5000)  12 Sc 2.91-3.19

Record 4
## ScOs2 (GGA-PBE)

Data for a geometry-optimized ScOs2 structure.

Summary:
Density of states at the Fermi level: 0.590 states/eV/atom
Total DFT energy (no corrections): -28.991 eV per formula unit

abc: 2.9596 14.5460 4.4795
angles: 90.00 90.00 90.00
Last column: nearest neighbours and their distance in Å.
Element x y z (fractional)
Sc (0.0000, 0.0874, 0.2500)  6 Os 2.69-2.87, 2 Sc 2.96
Sc (0.0000, 0.9126, 0.7500)  6 Os 2.69-2.87, 2 Sc 2.96
Sc (0.5000, 0.4126, 0.7500)  6 Os 2.69-2.87, 2 Sc 2.96
Sc (0.5000, 0.5874, 0.2500)  6 Os 2.69-2.87, 2 Sc 2.96
Os (0.0000, 0.2284, 0.7500)  6 Os 2.60-2.76
Os (0.0000, 0.4186, 0.2500)  2 Os 2.60, 6 Sc 2.69-2.87
Os (0.0000, 0.5814, 0.7500)  2 Os 2.60, 6 Sc 2.69-2.87
Os (0.0000, 0.7716, 0.2500)  6 Os 2.60-2.76
Os (0.5000, 0.0814, 0.7500)  2 Os 2.60, 6 Sc 2.69-2.87
Os (0.5000, 0.2716, 0.2500)  6 Os 2.60-2.76
Os (0.5000, 0.7284, 0.7500)  6 Os 2.60-2.76
Os (0.5000, 0.9186, 0.2500)  2 Os 2.60, 6 Sc 2.69-2.87

Record 5
## Sc3Os (GGA-PBE)

Data for a geometry-optimized Sc3Os structure.

Summary:
Density of states at the Fermi level: 1.281 states/eV/atom
Total DFT energy (no corrections): -30.686 eV per formula unit

abc: 6.1534 6.1534 9.5308
angles: 90.00 90.00 120.00
Last column: nearest neighbours and their distance in Å.
Element x y z (fractional)
Sc (0.0000, 0.5000, 0.0000)  4 Os 2.97-3.08, 8 Sc 3.00-3.08
Sc (0.0000, 0.5000, 0.5000)  4 Os 2.97-3.08, 8 Sc 3.00-3.08
Sc (0.1589, 0.3179, 0.2500)  4 Os 2.92-3.08, 8 Sc 2.93-3.22
Sc (0.1589, 0.8411, 0.2500)  4 Os 2.92-3.08, 8 Sc 2.93-3.22
Sc (0.3179, 0.1589, 0.7500)  4 Os 2.92-3.08, 8 Sc 2.93-3.22
Sc (0.5000, 0.0000, 0.0000)  4 Os 2.97-3.08, 8 Sc 3.00-3.08
Sc (0.5000, 0.0000, 0.5000)  4 Os 2.97-3.08, 8 Sc 3.00-3.08
Sc (0.5000, 0.5000, 0.0000)  4 Os 2.97-3.08, 8 Sc 3.00-3.08
Sc (0.5000, 0.5000, 0.5000)  4 Os 2.97-3.08, 8 Sc 3.00-3.08
Sc (0.6821, 0.8411, 0.2500)  4 Os 2.92-3.08, 8 Sc 2.93-3.22
Sc (0.8411, 0.1589, 0.7500)  4 Os 2.92-3.08, 8 Sc 2.93-3.22
Sc (0.8411, 0.6821, 0.7500)  4 Os 2.92-3.08, 8 Sc 2.93-3.22
Os (0.0000, 0.0000, 0.0000)  12 Sc 2.92-3.08
Os (0.0000, 0.0000, 0.5000)  12 Sc 2.92-3.08
Os (0.3333, 0.6667, 0.7500)  12 Sc 2.97-3.08
Os (0.6667, 0.3333, 0.2500)  12 Sc 2.97-3.08

Record 6
## ScOs2 (GGA-PBE)

Data for a geometry-optimized ScOs2 structure.

Summary:
Density of states at the Fermi level: 1.232 states/eV/atom
Total DFT energy (no corrections): -28.489 eV per formula unit

abc: 2.8821 14.5050 4.5919
angles: 90.00 90.00 90.00
Last column: nearest neighbours and their distance in Å.
Element x y z (fractional)
Sc (0.0000, 0.2148, 0.2500)  6 Os 2.79-2.97, 6 Sc 2.88-2.90
Sc (0.0000, 0.7852, 0.7500)  6 Os 2.79-2.97, 6 Sc 2.88-2.90
Sc (0.5000, 0.2852, 0.7500)  6 Os 2.79-2.97, 6 Sc 2.88-2.90
Sc (0.5000, 0.7148, 0.2500)  6 Os 2.79-2.97, 6 Sc 2.88-2.90
Os (0.0000, 0.1061, 0.7500)  8 Os 2.68-2.88, 4 Sc 2.79-2.97
Os (0.0000, 0.4503, 0.7500)  10 Os 2.68-2.88, 2 Sc 2.79
Os (0.0000, 0.5497, 0.2500)  10 Os 2.68-2.88, 2 Sc 2.79
Os (0.0000, 0.8939, 0.2500)  8 Os 2.68-2.88, 4 Sc 2.79-2.97
Os (0.5000, 0.0497, 0.2500)  10 Os 2.68-2.88, 2 Sc 2.79
Os (0.5000, 0.3939, 0.2500)  8 Os 2.68-2.88, 4 Sc 2.79-2.97
Os (0.5000, 0.6061, 0.7500)  8 Os 2.68-2.88, 4 Sc 2.79-2.97
Os (0.5000, 0.9503, 0.7500)  10 Os 2.68-2.88, 2 Sc 2.79

Record 7
## Sc3Os (GGA-PBE)

Data for a geometry-optimized Sc3Os structure.

Summary:
Density of states at the Fermi level: 1.336 states/eV/atom
Total DFT energy (no corrections): -30.176 eV per formula unit

abc: 9.3924 9.3924 3.0080
angles: 90.00 90.00 120.00
Last column: nearest neighbours and their distance in Å.
Element x y z (fractional)
Sc (0.0000, 0.5000, 0.0000)  2 Os 2.89, 6 Sc 2.89-3.01
Sc (0.1667, 0.3333, 0.3333)  6 Sc 2.89-3.01, 2 Os 2.89
Sc (0.1667, 0.8333, 0.3333)  2 Os 2.89, 6 Sc 2.89-3.01
Sc (0.3333, 0.1667, 0.6667)  6 Sc 2.89-3.01, 2 Os 2.89
Sc (0.5000, 0.0000, 0.0000)  2 Os 2.89, 6 Sc 2.89-3.01
Sc (0.5000, 0.5000, 0.0000)  6 Sc 2.89-3.01, 2 Os 2.89
Sc (0.6667, 0.8333, 0.3333)  6 Sc 2.89-3.01, 2 Os 2.89
Sc (0.8333, 0.1667, 0.6667)  2 Os 2.89, 6 Sc 2.89-3.01
Sc (0.8333, 0.6667, 0.6667)  6 Sc 2.89-3.01, 2 Os 2.89
Os (0.0000, 0.0000, 0.0000)  6 Sc 2.89, 2 Os 3.01
Os (0.3333, 0.6667, 0.6667)  6 Sc 2.89, 2 Os 3.01
Os (0.6667, 0.3333, 0.3333)  6 Sc 2.89, 2 Os 3.01

Record 8
## Sc3Os (GGA-PBE)

Data for a geometry-optimized Sc3Os structure.

Summary:
Density of states at the Fermi level: 1.022 states/eV/atom
Total DFT energy (no corrections): -31.171 eV per formula unit

abc: 3.2402 3.2402 8.0489
angles: 90.00 90.00 90.00
Last column: nearest neighbours and their distance in Å.
Element x y z (fractional)
Sc (0.0000, 0.0000, 0.0000)  12 Sc 3.24-3.38
Sc (0.5000, 0.5000, 0.3088)  4 Os 2.76, 1 Sc 3.08
Sc (0.5000, 0.5000, 0.6912)  4 Os 2.76, 1 Sc 3.08
Os (0.0000, 0.0000, 0.5000)  8 Sc 2.76

> The lowest density of states at the Fermi level belongs to which entry?

Sc5Os3

> What is the density of states at the Fermi level in the second record?

0.565 states/eV/atom